[1]
A relaxed structure of LuScCrRh, computed with PBE.

```
16
Lattice="6.699 0.000 0.000 0.000 6.699 0.000 0.000 0.000 6.699" Properties=species:S:1:pos:R:3 pbc="T T T"
Lu 0.000 0.000 0.000
Lu 0.000 3.350 3.350
Lu 3.350 0.000 3.350
Lu 3.350 3.350 0.000
Sc 0.000 0.000 3.350
Sc 0.000 3.350 0.000
Sc 3.350 0.000 0.000
Sc 3.350 3.350 3.350
Cr 1.675 1.675 1.675
Cr 1.675 5.024 5.024
Cr 5.024 1.675 5.024
Cr 5.024 5.024 1.675
Rh 1.675 1.675 5.024
Rh 1.675 5.024 1.675
Rh 5.024 1.675 1.675
Rh 5.024 5.024 5.024
```

Formation energy: -0.328 eV/atom
Crystal system: cubic

[2]
A relaxed structure of Lu2CrRu, computed with PBE.

```
16
Lattice="6.790 0.000 0.000 0.000 6.790 0.000 0.000 0.000 6.790" Properties=species:S:1:pos:R:3 pbc="T T T"
Lu 1.698 1.698 1.698
Lu 1.698 1.698 5.093
Lu 1.698 5.093 1.698
Lu 1.698 5.093 5.093
Lu 5.093 1.698 1.698
Lu 5.093 1.698 5.093
Lu 5.093 5.093 1.698
Lu 5.093 5.093 5.093
Cr 0.000 0.000 0.000
Cr 0.000 3.395 3.395
Cr 3.395 0.000 3.395
Cr 3.395 3.395 0.000
Ru 0.000 0.000 3.395
Ru 0.000 3.395 0.000
Ru 3.395 0.000 0.000
Ru 3.395 3.395 3.395
```

Formation energy: -0.129 eV/atom
Crystal system: cubic

[3]
A relaxed structure of LuCrRu2, computed with PBE.

```
4
Lattice="3.124 0.000 0.000 0.000 3.124 0.000 0.000 0.000 6.502" Properties=species:S:1:pos:R:3 pbc="T T T"
Lu 0.000 0.000 0.000
Cr 0.000 0.000 3.251
Ru 1.562 1.562 1.858
Ru 1.562 1.562 4.644
```

Formation energy: -0.108 eV/atom
Crystal system: tetragonal

[4]
A relaxed structure of LuCrSnRu, computed with PBE.

```
16
Lattice="6.585 0.000 0.000 0.000 6.585 0.000 0.000 0.000 6.585" Properties=species:S:1:pos:R:3 pbc="T T T"
Lu 0.000 0.000 0.000
Lu 0.000 3.292 3.292
Lu 3.292 0.000 3.292
Lu 3.292 3.292 0.000
Cr 1.646 1.646 1.646
Cr 1.646 4.938 4.938
Cr 4.938 1.646 4.938
Cr 4.938 4.938 1.646
Sn 0.000 0.000 3.292
Sn 0.000 3.292 0.000
Sn 3.292 0.000 0.000
Sn 3.292 3.292 3.292
Ru 1.646 1.646 4.938
Ru 1.646 4.938 1.646
Ru 4.938 1.646 1.646
Ru 4.938 4.938 4.938
```

Formation energy: -0.255 eV/atom
Crystal system: cubic

no.,M_tot (μB per cell)
1,13.7
2,14.4
3,1.5
4,12.1